Density functional theory data (PBE) for a relaxed FeIrRh2 crystal.

Lattice parameters (Å, degrees): 4.2789 4.2789 4.2789 60.00 60.00 60.00
Closest atoms and distances in Å follow each position.
Fractional coordinates of all 4 atoms:
Fe1 0.0000 0.0000 0.0000  8 Rh 2.62
Ir1 0.5000 0.5000 0.5000  8 Rh 2.62
Rh1 0.2500 0.2500 0.2500  4 Fe 2.62, 4 Ir 2.62
Rh2 0.7500 0.7500 0.7500  4 Fe 2.62, 4 Ir 2.62

Computed properties:
* ΔH_f (0 K): 0.49 eV per atom
* SG: Fm-3m (225)

Density functional theory data (PBE) for a relaxed Fe3IrRh4 crystal.

Lattice parameters (Å, degrees): 8.7119 5.3941 4.6072 90.00 90.00 90.00
Closest atoms and distances in Å follow each position.
Fractional coordinates of all 16 atoms:
Fe1 0.0000 0.0000 0.0000  8 Rh 2.65-2.67, 2 Fe 2.68, 2 Ir 2.70
Fe2 0.2500 0.0000 0.3387  8 Rh 2.63-2.68, 4 Fe 2.68-2.70
Fe3 0.2500 0.5000 0.3357  8 Rh 2.64-2.72, 2 Ir 2.67, 2 Fe 2.70
Fe4 0.5000 0.0000 0.0000  8 Rh 2.65-2.67, 2 Fe 2.68, 2 Ir 2.70
Fe5 0.7500 0.0000 0.6613  8 Rh 2.63-2.68, 4 Fe 2.68-2.70
Fe6 0.7500 0.5000 0.6643  8 Rh 2.64-2.72, 2 Ir 2.67, 2 Fe 2.70
Ir1 0.0000 0.5000 0.0000  8 Rh 2.67, 4 Fe 2.67-2.70
Ir2 0.5000 0.5000 0.0000  8 Rh 2.67, 4 Fe 2.67-2.70
Rh1 0.0000 0.2489 0.5000  6 Fe 2.66-2.67, 2 Ir 2.67, 4 Rh 2.68-2.71
Rh2 0.0000 0.7511 0.5000  6 Fe 2.66-2.67, 2 Ir 2.67, 4 Rh 2.68-2.71
Rh3 0.2500 0.2464 0.8449  6 Fe 2.63-2.72, 4 Rh 2.66-2.74, 2 Ir 2.67
Rh4 0.2500 0.7536 0.8449  6 Fe 2.63-2.72, 4 Rh 2.66-2.74, 2 Ir 2.67
Rh5 0.5000 0.2489 0.5000  6 Fe 2.66-2.67, 2 Ir 2.67, 4 Rh 2.68-2.71
Rh6 0.5000 0.7511 0.5000  6 Fe 2.66-2.67, 2 Ir 2.67, 4 Rh 2.68-2.71
Rh7 0.7500 0.2464 0.1551  6 Fe 2.63-2.72, 4 Rh 2.66-2.74, 2 Ir 2.67
Rh8 0.7500 0.7536 0.1551  6 Fe 2.63-2.72, 4 Rh 2.66-2.74, 2 Ir 2.67

Computed properties:
* ΔH_f (0 K): -0.02 eV per atom
* SG: Pmma (51)

Density functional theory data (PBE) for a relaxed Fe2Ir3Rh5 crystal.

Lattice parameters (Å, degrees): 7.1086 7.1086 8.1402 108.94 108.94 21.82
Closest atoms and distances in Å follow each position.
Fractional coordinates of all 10 atoms:
Fe1 0.1825 0.1825 0.0962  7 Rh 2.67-2.76, 2 Fe 2.69, 2 Ir 2.85
Fe2 0.8175 0.8175 0.9038  7 Rh 2.67-2.76, 2 Fe 2.69, 2 Ir 2.85
Ir1 0.0000 0.0000 0.5000  6 Ir 2.64-2.69, 6 Rh 2.76-2.78
Ir2 0.4045 0.4045 0.6782  5 Rh 2.52-2.77, 4 Ir 2.64-2.69
Ir3 0.5955 0.5955 0.3218  5 Rh 2.52-2.77, 4 Ir 2.64-2.69
Rh1 0.2109 0.2109 0.6113  4 Ir 2.57-2.78, 6 Rh 2.69-2.76, 2 Fe 2.71
Rh2 0.3854 0.3854 0.2036  5 Rh 2.66-2.69, 3 Fe 2.67, 3 Ir 2.76-2.77
Rh3 0.5000 0.5000 0.0000  2 Ir 2.52, 4 Rh 2.66-2.69, 4 Fe 2.76
Rh4 0.6146 0.6146 0.7964  5 Rh 2.66-2.69, 3 Fe 2.67, 3 Ir 2.76-2.77
Rh5 0.7891 0.7891 0.3887  4 Ir 2.57-2.78, 6 Rh 2.69-2.76, 2 Fe 2.71

Computed properties:
* ΔH_f (0 K): 0.12 eV per atom
* SG: C2/m (12)

Density functional theory data (PBE) for a relaxed Fe2IrRh crystal.

Lattice parameters (Å, degrees): 8.6351 8.6351 8.6351 17.98 17.98 17.98
Closest atoms and distances in Å follow each position.
Fractional coordinates of all 4 atoms:
Fe1 0.2500 0.2500 0.2500  3 Rh 2.63, 3 Ir 2.63, 6 Fe 2.70
Fe2 0.7500 0.7500 0.7500  3 Rh 2.63, 3 Ir 2.63, 6 Fe 2.70
Ir1 0.0000 0.0000 0.0000  6 Fe 2.63, 6 Ir 2.70
Rh1 0.5000 0.5000 0.5000  6 Fe 2.63, 6 Rh 2.70

Computed properties:
* ΔH_f (0 K): 0.04 eV per atom
* SG: R-3m (166)

Density functional theory data (PBE) for a relaxed FeIr2Rh crystal.

Lattice parameters (Å, degrees): 2.6936 2.6936 9.0170 90.00 90.00 119.19
Closest atoms and distances in Å follow each position.
Fractional coordinates of all 4 atoms:
Fe1 0.0000 0.0000 0.0000  4 Ir 2.55, 6 Fe 2.69-2.73
Ir1 0.5000 0.5000 0.2392  2 Fe 2.55, 6 Ir 2.69-2.73, 2 Rh 2.72
Ir2 0.5000 0.5000 0.7608  2 Fe 2.55, 6 Ir 2.69-2.73, 2 Rh 2.72
Rh1 0.0000 0.0000 0.5000  6 Rh 2.69-2.73, 4 Ir 2.72

Computed properties:
* ΔH_f (0 K): 0.18 eV per atom
* SG: Cmmm (65)

Density functional theory data (PBE) for a relaxed Fe2Ir2Rh3 crystal.

Lattice parameters (Å, degrees): 4.5457 4.5457 8.9394 110.13 110.13 34.65
Closest atoms and distances in Å follow each position.
Fractional coordinates of all 7 atoms:
Fe1 0.2213 0.2213 0.3611  3 Ir 2.59-2.64, 5 Rh 2.64-2.69, 4 Fe 2.71
Fe2 0.7787 0.7787 0.6389  3 Ir 2.59-2.64, 5 Rh 2.64-2.69, 4 Fe 2.71
Ir1 0.4518 0.4518 0.2324  3 Fe 2.59-2.64, 6 Rh 2.65-2.69, 2 Ir 2.71
Ir2 0.5482 0.5482 0.7676  3 Fe 2.59-2.64, 6 Rh 2.65-2.69, 2 Ir 2.71
Rh1 0.0000 0.0000 0.5000  6 Fe 2.64-2.66, 4 Ir 2.65, 2 Rh 2.71
Rh2 0.3301 0.3301 0.9132  4 Ir 2.66-2.69, 2 Fe 2.69, 5 Rh 2.71-2.79
Rh3 0.6699 0.6699 0.0868  4 Ir 2.66-2.69, 2 Fe 2.69, 5 Rh 2.71-2.79

Computed properties:
* ΔH_f (0 K): 0.06 eV per atom
* SG: C2/m (12)

Density functional theory data (PBE) for a relaxed Fe9Ir4Rh11 crystal.

Lattice parameters (Å, degrees): 11.0442 11.0442 2.7092 90.00 90.00 94.43
Closest atoms and distances in Å follow each position.
Fractional coordinates of all 24 atoms:
Fe1 0.0000 0.0000 0.0000  4 Ir 2.49, 2 Fe 2.71, 4 Rh 2.76
Fe2 0.1168 0.6376 0.0000  1 Ir 2.57, 8 Rh 2.64-2.72, 3 Fe 2.71-2.77
Fe3 0.2958 0.4757 0.0000  8 Rh 2.62-2.65, 4 Fe 2.71-2.92
Fe4 0.3624 0.8832 0.0000  1 Ir 2.57, 8 Rh 2.64-2.72, 3 Fe 2.71-2.77
Fe5 0.4757 0.2958 0.0000  8 Rh 2.62-2.65, 4 Fe 2.71-2.92
Fe6 0.5243 0.7042 0.0000  8 Rh 2.62-2.65, 4 Fe 2.71-2.92
Fe7 0.6376 0.1168 0.0000  1 Ir 2.57, 8 Rh 2.64-2.72, 3 Fe 2.71-2.77
Fe8 0.7042 0.5243 0.0000  8 Rh 2.62-2.65, 4 Fe 2.71-2.92
Fe9 0.8832 0.3624 0.0000  1 Ir 2.57, 8 Rh 2.64-2.72, 3 Fe 2.71-2.77
Ir1 0.0591 0.2225 0.0000  2 Fe 2.49-2.57, 3 Ir 2.65-2.71, 6 Rh 2.66-2.73
Ir2 0.2225 0.0591 0.0000  2 Fe 2.49-2.57, 3 Ir 2.65-2.71, 6 Rh 2.66-2.73
Ir3 0.7775 0.9409 0.0000  2 Fe 2.49-2.57, 3 Ir 2.65-2.71, 6 Rh 2.66-2.73
Ir4 0.9409 0.7775 0.0000  2 Fe 2.49-2.57, 3 Ir 2.65-2.71, 6 Rh 2.66-2.73
Rh1 0.0908 0.4300 0.5000  4 Rh 2.62-2.75, 6 Fe 2.65-2.72, 2 Ir 2.66
Rh2 0.1483 0.8517 0.5000  3 Rh 2.71-2.80, 6 Fe 2.72-2.76, 4 Ir 2.73
Rh3 0.2694 0.2694 0.5000  4 Fe 2.65, 4 Ir 2.70, 4 Rh 2.71-2.75
Rh4 0.3212 0.6788 0.5000  8 Fe 2.62-2.64, 4 Rh 2.71-2.90
Rh5 0.4300 0.0908 0.5000  4 Rh 2.62-2.75, 6 Fe 2.65-2.72, 2 Ir 2.66
Rh6 0.5000 0.5000 0.5000  8 Fe 2.63, 4 Rh 2.71-2.90
Rh7 0.5700 0.9092 0.5000  4 Rh 2.62-2.75, 6 Fe 2.65-2.72, 2 Ir 2.66
Rh8 0.6788 0.3212 0.5000  8 Fe 2.62-2.64, 4 Rh 2.71-2.90
Rh9 0.7306 0.7306 0.5000  4 Fe 2.65, 4 Ir 2.70, 4 Rh 2.71-2.75
Rh10 0.8517 0.1483 0.5000  3 Rh 2.71-2.80, 6 Fe 2.72-2.76, 4 Ir 2.73
Rh11 0.9092 0.5700 0.5000  4 Rh 2.62-2.75, 6 Fe 2.65-2.72, 2 Ir 2.66

Computed properties:
* ΔH_f (0 K): 0.03 eV per atom
* SG: Cmmm (65)

Density functional theory data (PBE) for a relaxed Fe3Ir6Rh2 crystal.

Lattice parameters (Å, degrees): 4.6510 6.0391 6.0397 107.51 105.12 97.91
Closest atoms and distances in Å follow each position.
Fractional coordinates of all 11 atoms:
Fe1 0.0000 0.0000 0.0000  8 Ir 2.65-2.70, 2 Rh 2.67, 2 Fe 2.71
Fe2 0.0890 0.8198 0.3660  8 Ir 2.64-2.71, 2 Fe 2.67-2.71, 2 Rh 2.67-2.73
Fe3 0.9110 0.1802 0.6340  8 Ir 2.64-2.71, 2 Fe 2.67-2.71, 2 Rh 2.67-2.73
Ir1 0.1802 0.6392 0.7239  6 Ir 2.66-2.74, 3 Fe 2.67-2.71, 3 Rh 2.69-2.73
Ir2 0.3576 0.2651 0.4506  4 Fe 2.64-2.71, 6 Ir 2.66-2.77, 2 Rh 2.71-2.74
Ir3 0.4540 0.0891 0.8136  5 Fe 2.65-2.70, 5 Ir 2.66-2.74, 2 Rh 2.71
Ir4 0.5460 0.9109 0.1864  5 Fe 2.65-2.70, 5 Ir 2.66-2.74, 2 Rh 2.71
Ir5 0.6424 0.7349 0.5494  4 Fe 2.64-2.71, 6 Ir 2.66-2.77, 2 Rh 2.71-2.74
Ir6 0.8198 0.3608 0.2761  6 Ir 2.66-2.74, 3 Fe 2.67-2.71, 3 Rh 2.69-2.73
Rh1 0.2687 0.4515 0.0883  2 Rh 2.67-2.71, 3 Fe 2.67-2.73, 7 Ir 2.69-2.74
Rh2 0.7313 0.5485 0.9117  2 Rh 2.67-2.71, 3 Fe 2.67-2.73, 7 Ir 2.69-2.74

Computed properties:
* ΔH_f (0 K): -0.04 eV per atom
* SG: P-1 (2)

Density functional theory data (PBE) for a relaxed Fe3IrRh3 crystal.

Lattice parameters (Å, degrees): 7.3438 7.3438 7.3438 90.00 90.00 90.00
Closest atoms and distances in Å follow each position.
Fractional coordinates of all 28 atoms:
Fe1 0.0219 0.1868 0.8969  5 Rh 2.47-2.73, 2 Ir 2.54, 2 Fe 2.62
Fe2 0.1031 0.5219 0.3132  5 Rh 2.47-2.73, 2 Ir 2.54, 2 Fe 2.62
Fe3 0.1868 0.8969 0.0219  5 Rh 2.47-2.73, 2 Ir 2.54, 2 Fe 2.62
Fe4 0.3132 0.1031 0.5219  5 Rh 2.47-2.73, 2 Ir 2.54, 2 Fe 2.62
Fe5 0.3969 0.4781 0.8132  5 Rh 2.47-2.73, 2 Ir 2.54, 2 Fe 2.62
Fe6 0.4781 0.8132 0.3969  5 Rh 2.47-2.73, 2 Ir 2.54, 2 Fe 2.62
Fe7 0.5219 0.3132 0.1031  5 Rh 2.47-2.73, 2 Ir 2.54, 2 Fe 2.62
Fe8 0.6031 0.9781 0.6868  5 Rh 2.47-2.73, 2 Ir 2.54, 2 Fe 2.62
Fe9 0.6868 0.6031 0.9781  5 Rh 2.47-2.73, 2 Ir 2.54, 2 Fe 2.62
Fe10 0.8132 0.3969 0.4781  5 Rh 2.47-2.73, 2 Ir 2.54, 2 Fe 2.62
Fe11 0.8969 0.0219 0.1868  5 Rh 2.47-2.73, 2 Ir 2.54, 2 Fe 2.62
Fe12 0.9781 0.6868 0.6031  5 Rh 2.47-2.73, 2 Ir 2.54, 2 Fe 2.62
Ir1 0.1253 0.3747 0.6253  6 Fe 2.54, 3 Rh 2.72
Ir2 0.3747 0.6253 0.1253  6 Fe 2.54, 3 Rh 2.72
Ir3 0.6253 0.1253 0.3747  6 Fe 2.54, 3 Rh 2.72
Ir4 0.8747 0.8747 0.8747  6 Fe 2.54, 3 Rh 2.72
Rh1 0.0624 0.5624 0.9376  2 Rh 2.67-2.85, 6 Fe 2.69-2.79, 3 Ir 2.72
Rh2 0.1472 0.8528 0.3528  6 Fe 2.47-2.53, 1 Rh 2.67
Rh3 0.2135 0.2135 0.2135  6 Fe 2.51-2.73
Rh4 0.2865 0.7865 0.7135  6 Fe 2.51-2.73
Rh5 0.3528 0.1472 0.8528  6 Fe 2.47-2.53, 1 Rh 2.67
Rh6 0.4376 0.4376 0.4376  2 Rh 2.67-2.85, 6 Fe 2.69-2.79, 3 Ir 2.72
Rh7 0.5624 0.9376 0.0624  2 Rh 2.67-2.85, 6 Fe 2.69-2.79, 3 Ir 2.72
Rh8 0.6472 0.6472 0.6472  6 Fe 2.47-2.53, 1 Rh 2.67
Rh9 0.7135 0.2865 0.7865  6 Fe 2.51-2.73
Rh10 0.7865 0.7135 0.2865  6 Fe 2.51-2.73
Rh11 0.8528 0.3528 0.1472  6 Fe 2.47-2.53, 1 Rh 2.67
Rh12 0.9376 0.0624 0.5624  2 Rh 2.67-2.85, 6 Fe 2.69-2.79, 3 Ir 2.72

Computed properties:
* ΔH_f (0 K): 0.18 eV per atom
* SG: P2_13 (198)

Density functional theory data (PBE) for a relaxed Fe4Ir5Rh crystal.

Lattice parameters (Å, degrees): 6.4260 6.4260 6.4260 141.69 102.34 90.09
Closest atoms and distances in Å follow each position.
Fractional coordinates of all 10 atoms:
Fe1 0.1627 0.1627 0.0000  2 Rh 2.57, 6 Ir 2.65-2.79
Fe2 0.3220 0.5000 0.8220  4 Ir 2.55-2.70, 1 Rh 2.59
Fe3 0.6780 0.5000 0.1780  4 Ir 2.55-2.70, 1 Rh 2.59
Fe4 0.8373 0.8373 0.0000  2 Rh 2.57, 6 Ir 2.65-2.79
Ir1 0.0981 0.7626 0.3355  4 Ir 2.53-2.65, 4 Fe 2.65-2.79, 1 Rh 2.73
Ir2 0.4272 0.7626 0.6645  4 Ir 2.53-2.65, 4 Fe 2.65-2.79, 1 Rh 2.73
Ir3 0.5000 0.0000 0.5000  4 Ir 2.53, 4 Fe 2.55
Ir4 0.5728 0.2374 0.3355  4 Ir 2.53-2.65, 4 Fe 2.65-2.79, 1 Rh 2.73
Ir5 0.9019 0.2374 0.6645  4 Ir 2.53-2.65, 4 Fe 2.65-2.79, 1 Rh 2.73
Rh1 0.0000 0.5000 0.5000  6 Fe 2.57-2.59, 4 Ir 2.73

Computed properties:
* ΔH_f (0 K): 0.32 eV per atom
* SG: Immm (71)

Density functional theory data (PBE) for a relaxed FeIr2Rh crystal.

Lattice parameters (Å, degrees): 4.6601 4.6601 4.6601 131.51 131.51 71.01
Closest atoms and distances in Å follow each position.
Fractional coordinates of all 4 atoms:
Fe1 0.0000 0.0000 0.0000  8 Ir 2.69, 4 Rh 2.71
Ir1 0.2500 0.7500 0.5000  4 Fe 2.69, 4 Rh 2.69, 4 Ir 2.71
Ir2 0.7500 0.2500 0.5000  4 Fe 2.69, 4 Rh 2.69, 4 Ir 2.71
Rh1 0.5000 0.5000 0.0000  8 Ir 2.69, 4 Fe 2.71

Computed properties:
* ΔH_f (0 K): -0.05 eV per atom
* SG: I4/mmm (139)